a.
# PrNd2Y2

A relaxed structure of PrNd2Y2 (PBE, Alexandria via LeMat-Bulk).

crystal system	orthorhombic

abc: 5.9048 7.1260 9.5124
angles: 112.00 108.08 90.00
Closest atoms and distances in Å follow each position.
Atoms (fractional coordinates):
Pr 0.3829 0.1329 0.2659  5 Y 3.51-3.78, 6 Nd 3.68
Pr 0.6171 0.8671 0.7341  5 Y 3.51-3.78, 6 Nd 3.68
Nd 0.8092 0.3147 0.1184  4 Nd 3.48-3.64, 5 Y 3.61-3.73, 3 Pr 3.68
Nd 0.8092 0.8037 0.1184  4 Nd 3.48-3.64, 5 Y 3.61-3.73, 3 Pr 3.68
Nd 0.1908 0.1963 0.8816  4 Nd 3.48-3.64, 5 Y 3.61-3.73, 3 Pr 3.68
Nd 0.1908 0.6853 0.8816  4 Nd 3.48-3.64, 5 Y 3.61-3.73, 3 Pr 3.68
Y 0.6106 0.3606 0.7213  2 Y 3.51, 3 Pr 3.56-3.78, 6 Nd 3.68-3.73
Y 0.0032 0.7532 0.5064  4 Y 3.51-3.56, 2 Pr 3.51, 4 Nd 3.61-3.67
Y 0.9968 0.2468 0.4936  4 Y 3.51-3.56, 2 Pr 3.51, 4 Nd 3.61-3.67
Y 0.3894 0.6394 0.2787  2 Y 3.51, 3 Pr 3.56-3.78, 6 Nd 3.68-3.73



b.
# PrNd2Y2

A relaxed structure of PrNd2Y2 (PBE, Alexandria via LeMat-Bulk).

crystal system	tetragonal

abc: 3.8796 9.4778 9.4778
angles: 90.00 90.00 90.00
Closest atoms and distances in Å follow each position.
Atoms (fractional coordinates):
Pr 0.0000 0.0000 0.0000  4 Nd 3.73, 2 Pr 3.88, 8 Y 4.02
Pr 0.0000 0.5000 0.5000  4 Nd 3.73, 2 Pr 3.88, 8 Y 4.02
Nd 0.0000 0.3716 0.8716  6 Y 3.33-3.45, 1 Nd 3.44, 2 Pr 3.73
Nd 0.0000 0.8716 0.6284  6 Y 3.33-3.45, 1 Nd 3.44, 2 Pr 3.73
Nd 0.0000 0.6284 0.1284  6 Y 3.33-3.45, 1 Nd 3.44, 2 Pr 3.73
Nd 0.0000 0.1284 0.3716  6 Y 3.33-3.45, 1 Nd 3.44, 2 Pr 3.73
Y 0.5000 0.1694 0.6694  6 Nd 3.33-3.45
Y 0.5000 0.6694 0.8306  6 Nd 3.33-3.45
Y 0.5000 0.8306 0.3306  6 Nd 3.33-3.45
Y 0.5000 0.3306 0.1694  6 Nd 3.33-3.45



The structure with the greatest stability is b.



a.
# PrNd12Y7

A relaxed structure of PrNd12Y7 (PBE, Alexandria via LeMat-Bulk).

crystal system	trigonal

abc: 8.9417 8.9417 8.9417
angles: 98.38 98.38 98.38
Closest atoms and distances in Å follow each position.
Atoms (fractional coordinates):
Pr 0.0000 0.0000 0.0000  6 Y 3.48
Nd 0.7619 0.2381 0.5000  6 Nd 3.45-3.64, 5 Y 3.54-3.61
Nd 0.7619 0.5000 0.2381  6 Nd 3.45-3.64, 5 Y 3.54-3.61
Nd 0.3573 0.0895 0.3572  6 Nd 3.45-3.64, 3 Y 3.68-3.81
Nd 0.9105 0.6428 0.6427  6 Nd 3.45-3.64, 3 Y 3.68-3.81
Nd 0.5000 0.2381 0.7619  6 Nd 3.45-3.64, 5 Y 3.54-3.61
Nd 0.6428 0.6427 0.9105  6 Nd 3.45-3.64, 3 Y 3.68-3.81
Nd 0.3572 0.3573 0.0895  6 Nd 3.45-3.64, 3 Y 3.68-3.81
Nd 0.5000 0.7619 0.2381  6 Nd 3.45-3.64, 5 Y 3.54-3.61
Nd 0.0895 0.3572 0.3573  6 Nd 3.45-3.64, 3 Y 3.68-3.81
Nd 0.6427 0.9105 0.6428  6 Nd 3.45-3.64, 3 Y 3.68-3.81
Nd 0.2381 0.5000 0.7619  6 Nd 3.45-3.64, 5 Y 3.54-3.61
Nd 0.2381 0.7619 0.5000  6 Nd 3.45-3.64, 5 Y 3.54-3.61
Y 0.0984 0.6607 0.0984  3 Y 3.26-3.64, 1 Pr 3.48, 4 Nd 3.56-3.61
Y 0.3393 0.9016 0.9016  3 Y 3.26-3.64, 1 Pr 3.48, 4 Nd 3.56-3.61
Y 0.9016 0.9016 0.3393  3 Y 3.26-3.64, 1 Pr 3.48, 4 Nd 3.56-3.61
Y 0.5000 0.5000 0.5000  12 Nd 3.54-3.68
Y 0.0984 0.0984 0.6607  3 Y 3.26-3.64, 1 Pr 3.48, 4 Nd 3.56-3.61
Y 0.6607 0.0984 0.0984  3 Y 3.26-3.64, 1 Pr 3.48, 4 Nd 3.56-3.61
Y 0.9016 0.3393 0.9016  3 Y 3.26-3.64, 1 Pr 3.48, 4 Nd 3.56-3.61



b.
# PrNd12Y7

A relaxed structure of PrNd12Y7 (PBE, Alexandria via LeMat-Bulk).

crystal system	cubic

abc: 10.0616 10.0616 10.0616
angles: 109.47 109.47 109.47
Closest atoms and distances in Å follow each position.
Atoms (fractional coordinates):
Pr 0.0000 0.0000 0.0000  12 Nd 4.17
Nd 0.4922 0.7471 0.7450  2 Y 2.91
Nd 0.0021 0.7471 0.2550  2 Y 2.91
Nd 0.5078 0.2529 0.2550  2 Y 2.91
Nd 0.9979 0.2529 0.7450  2 Y 2.91
Nd 0.7450 0.9979 0.2529  2 Y 2.91
Nd 0.7450 0.4922 0.7471  2 Y 2.91
Nd 0.2550 0.0021 0.7471  2 Y 2.91
Nd 0.2550 0.5078 0.2529  2 Y 2.91
Nd 0.7471 0.7450 0.4922  2 Y 2.91
Nd 0.2529 0.2550 0.5078  2 Y 2.91
Nd 0.7471 0.2550 0.0021  2 Y 2.91
Nd 0.2529 0.7450 0.9979  2 Y 2.91
Y 0.5000 0.5000 0.0000  12 Nd 4.04-4.13
Y 0.0000 0.5000 0.5000  12 Nd 4.04-4.13
Y 0.5000 0.0000 0.5000  12 Nd 4.04-4.13
Y 0.5000 0.5000 0.5000  6 Nd 2.91
Y 0.0000 0.0000 0.5000  6 Nd 2.91
Y 0.5000 0.0000 0.0000  6 Nd 2.91
Y 0.0000 0.5000 0.0000  6 Nd 2.91



The structure with the greatest stability is a.